Entry 1:
This record from Alexandria describes an optimized crystal structure of SrLiAcSi. The functional is GGA-PBE.

Cell lengths 7.776, 7.776, 7.776 Å; angles 90.00, 90.00, 90.00 degrees
Positions (direct):
1 Sr 0.000 0.000 0.000
2 Sr 0.000 0.500 0.500
3 Sr 0.500 0.000 0.500
4 Sr 0.500 0.500 0.000
5 Li 0.250 0.250 0.750
6 Li 0.250 0.750 0.250
7 Li 0.750 0.250 0.250
8 Li 0.750 0.750 0.750
9 Ac 0.000 0.000 0.500
10 Ac 0.000 0.500 0.000
11 Ac 0.500 0.000 0.000
12 Ac 0.500 0.500 0.500
13 Si 0.250 0.250 0.250
14 Si 0.250 0.750 0.750
15 Si 0.750 0.250 0.750
16 Si 0.750 0.750 0.250

Results
The calculated total energy is -3.465 eV/atom. Its symmetry is No. 216. As for the size of the total moment: 0.00 μB per formula unit. The raw formation energy comes out at -0.183 eV per atom.

Entry 2:
This record from Alexandria describes an optimized crystal structure of Li2AcTbSi2. The functional is GGA-PBE.

Cell lengths 4.510, 4.510, 7.681 Å; angles 90.00, 90.00, 120.00 degrees
Positions (direct):
1 Li 0.333 0.667 0.191
2 Li 0.667 0.333 0.809
3 Ac 0.000 0.000 0.500
4 Tb 0.000 0.000 0.000
5 Si 0.333 0.667 0.779
6 Si 0.667 0.333 0.221

Results
The calculated total energy is -4.424 eV/atom. Its symmetry is No. 164. As for the size of the total moment: 0.00 μB per formula unit. The raw formation energy comes out at -0.522 eV per atom.

Entry 3:
This record from Alexandria describes an optimized crystal structure of LiAcTbSi. The functional is GGA-PBE.

Cell lengths 7.441, 7.441, 7.441 Å; angles 90.00, 90.00, 90.00 degrees
Positions (direct):
1 Li 0.000 0.000 0.000
2 Li 0.000 0.500 0.500
3 Li 0.500 0.000 0.500
4 Li 0.500 0.500 0.000
5 Ac 0.250 0.250 0.250
6 Ac 0.250 0.750 0.750
7 Ac 0.750 0.250 0.750
8 Ac 0.750 0.750 0.250
9 Tb 0.250 0.250 0.750
10 Tb 0.250 0.750 0.250
11 Tb 0.750 0.250 0.250
12 Tb 0.750 0.750 0.750
13 Si 0.000 0.000 0.500
14 Si 0.000 0.500 0.000
15 Si 0.500 0.000 0.000
16 Si 0.500 0.500 0.500

Results
The calculated total energy is -4.248 eV/atom. Its symmetry is No. 216. As for the size of the total moment: 0.00 μB per formula unit. The raw formation energy comes out at -0.229 eV per atom.

Entry 4:
This record from Alexandria describes an optimized crystal structure of LiAcTmSi. The functional is GGA-PBE.

Cell lengths 7.384, 7.384, 7.384 Å; angles 90.00, 90.00, 90.00 degrees
Positions (direct):
1 Li 0.000 0.000 0.000
2 Li 0.000 0.500 0.500
3 Li 0.500 0.000 0.500
4 Li 0.500 0.500 0.000
5 Ac 0.250 0.250 0.250
6 Ac 0.250 0.750 0.750
7 Ac 0.750 0.250 0.750
8 Ac 0.750 0.750 0.250
9 Tm 0.250 0.250 0.750
10 Tm 0.250 0.750 0.250
11 Tm 0.750 0.250 0.250
12 Tm 0.750 0.750 0.750
13 Si 0.000 0.000 0.500
14 Si 0.000 0.500 0.000
15 Si 0.500 0.000 0.000
16 Si 0.500 0.500 0.500

Results
The calculated total energy is -4.185 eV/atom. Its symmetry is No. 216. As for the size of the total moment: 0.00 μB per formula unit. The raw formation energy comes out at -0.206 eV per atom.

Entry 5:
This record from Alexandria describes an optimized crystal structure of Li2AcZn2Si2. The functional is GGA-PBE.

Cell lengths 8.746, 8.746, 8.746 Å; angles 28.25, 28.25, 28.25 degrees
Positions (direct):
1 Li 0.143 0.143 0.143
2 Li 0.857 0.857 0.857
3 Ac 0.000 0.000 0.000
4 Zn 0.433 0.433 0.433
5 Zn 0.567 0.567 0.567
6 Si 0.249 0.249 0.249
7 Si 0.751 0.751 0.751

Results
The calculated total energy is -3.479 eV/atom. Its symmetry is No. 166. As for the size of the total moment: 0.00 μB per formula unit. The raw formation energy comes out at -0.432 eV per atom.

Entry 6:
This record from Alexandria describes an optimized crystal structure of LiAc2Zn4Si3. The functional is GGA-PBE.

Cell lengths 4.355, 4.355, 10.573 Å; angles 90.00, 90.00, 90.00 degrees
Positions (direct):
1 Li 0.000 0.000 0.000
2 Ac 0.000 0.500 0.745
3 Ac 0.500 0.000 0.255
4 Zn 0.000 0.000 0.500
5 Zn 0.000 0.500 0.127
6 Zn 0.500 0.000 0.873
7 Zn 0.500 0.500 0.500
8 Si 0.000 0.500 0.367
9 Si 0.500 0.000 0.633
10 Si 0.500 0.500 0.000

Results
The calculated total energy is -3.534 eV/atom. Its symmetry is No. 115. As for the size of the total moment: 0.00 μB per formula unit. The raw formation energy comes out at -0.384 eV per atom.

Entry 7:
This record from Alexandria describes an optimized crystal structure of LiAc2Zn3Si4. The functional is GGA-PBE.

Cell lengths 4.423, 4.423, 10.294 Å; angles 90.00, 90.00, 90.00 degrees
Positions (direct):
1 Li 0.000 0.000 0.000
2 Ac 0.000 0.500 0.746
3 Ac 0.500 0.000 0.254
4 Zn 0.000 0.500 0.376
5 Zn 0.500 0.000 0.624
6 Zn 0.500 0.500 0.000
7 Si 0.000 0.000 0.500
8 Si 0.000 0.500 0.136
9 Si 0.500 0.000 0.864
10 Si 0.500 0.500 0.500

Results
The calculated total energy is -3.965 eV/atom. Its symmetry is No. 115. As for the size of the total moment: 0.00 μB per formula unit. The raw formation energy comes out at -0.401 eV per atom.

Entry 8:
This record from Alexandria describes an optimized crystal structure of LiAcZn2Si2. The functional is GGA-PBE.

Cell lengths 4.292, 4.292, 7.343 Å; angles 90.00, 90.00, 120.00 degrees
Positions (direct):
1 Li 0.000 0.000 0.000
2 Ac 0.000 0.000 0.500
3 Zn 0.333 0.667 0.163
4 Zn 0.667 0.333 0.837
5 Si 0.333 0.667 0.780
6 Si 0.667 0.333 0.220

Results
The calculated total energy is -3.646 eV/atom. Its symmetry is No. 164. As for the size of the total moment: 0.00 μB per formula unit. The raw formation energy comes out at -0.410 eV per atom.

Entry 9:
This record from Alexandria describes an optimized crystal structure of LiAcZnSi2. The functional is GGA-PBE.

Cell lengths 4.389, 4.389, 10.335 Å; angles 90.00, 90.00, 90.00 degrees
Positions (direct):
1 Li 0.000 0.000 0.000
2 Li 0.500 0.500 0.500
3 Ac 0.000 0.500 0.750
4 Ac 0.500 0.000 0.250
5 Zn 0.000 0.000 0.500
6 Zn 0.500 0.500 0.000
7 Si 0.000 0.500 0.134
8 Si 0.000 0.500 0.366
9 Si 0.500 0.000 0.634
10 Si 0.500 0.000 0.866

Results
The calculated total energy is -4.098 eV/atom. Its symmetry is No. 119. As for the size of the total moment: 0.00 μB per formula unit. The raw formation energy comes out at -0.470 eV per atom.

Entry 10:
This record from Alexandria describes an optimized crystal structure of Li4AcSm. The functional is GGA-PBE.

Cell lengths 6.098, 6.098, 6.098 Å; angles 60.00, 60.00, 60.00 degrees
Positions (direct):
1 Li 0.123 0.123 0.123
2 Li 0.123 0.123 0.630
3 Li 0.123 0.630 0.123
4 Li 0.630 0.123 0.123
5 Ac 0.500 0.500 0.500
6 Sm 0.750 0.750 0.750

Results
The calculated total energy is -2.656 eV/atom. Its symmetry is No. 216. As for the size of the total moment: 0.00 μB per formula unit.

Entry 11:
This record from Alexandria describes an optimized crystal structure of LiAcSm. The functional is GGA-PBE.

Cell lengths 3.930, 3.930, 12.777 Å; angles 90.00, 90.00, 90.00 degrees
Positions (direct):
1 Li 0.000 0.000 0.000
2 Li 0.500 0.500 0.500
3 Ac 0.000 0.000 0.664
4 Ac 0.500 0.500 0.164
5 Sm 0.000 0.000 0.363
6 Sm 0.500 0.500 0.863

Results
The calculated total energy is -3.499 eV/atom. Its symmetry is No. 107. As for the size of the total moment: 0.00 μB per formula unit. The offset from the most stable computed form is 0.0 meV per atom.

Entry 12:
This record from Alexandria describes an optimized crystal structure of LiAcSm2. The functional is GGA-PBE.

Cell lengths 3.836, 3.836, 8.897 Å; angles 90.00, 90.00, 90.00 degrees
Positions (direct):
1 Li 0.000 0.000 0.000
2 Ac 0.000 0.000 0.500
3 Sm 0.500 0.500 0.209
4 Sm 0.500 0.500 0.791

Results
The calculated total energy is -3.782 eV/atom. Its symmetry is No. 123. As for the size of the total moment: 0.00 μB per formula unit. The offset from the most stable computed form is 0.0 meV per atom.

- Number 2 is which compound?
  Li2AcTbSi2